Entry 1:
An optimized crystal structure of K3LaSi, computed with GGA-PBE.

POSCAR file:
```
K3LaSi
1.0
6.631 0.000 0.000
0.000 6.631 0.000
0.000 0.000 6.631
K La Si
3 1 1
Direct
0.000 0.000 0.500
0.000 0.500 0.000
0.500 0.000 0.000
0.000 0.000 0.000
0.500 0.500 0.500
```

- Total magnetization: 0.39 μB/atom
- Formation energy from raw total energies: 132 kJ per mole of atoms
- Volume: 58.32 Å³/atom
- Space group: Pm-3m, No. 221
- Polymorph energy (0 for the lowest one): 57.45 kJ/mol of atoms

---

Entry 2:
An optimized crystal structure of KLaSi2, computed with GGA-PBE.

POSCAR file:
```
KLaSi2
1.0
1.871 1.080 9.748
-1.871 1.080 9.748
0.000 -2.160 9.748
K La Si
1 1 2
Direct
0.000 0.000 0.000
0.500 0.500 0.500
0.244 0.244 0.244
0.756 0.756 0.756
```

- Total magnetization: 0.00 μB/atom
- Formation energy from raw total energies: 29 kJ per mole of atoms
- Volume: 29.54 Å³/atom
- Space group: R-3m, No. 166
- Polymorph energy (0 for the lowest one): 55.57 kJ/mol of atoms

---

Entry 3:
An optimized crystal structure of KLaSi, computed with GGA-PBE.

POSCAR file:
```
KLaSi
1.0
4.845 0.000 0.000
-2.423 4.196 0.000
0.000 0.000 6.048
K La Si
1 1 1
Direct
0.000 0.000 0.000
0.667 0.333 0.517
0.333 0.667 0.668
```

- Total magnetization: 0.00 μB/atom
- Formation energy from raw total energies: 7 kJ per mole of atoms
- Volume: 40.99 Å³/atom
- Space group: P3m1, No. 156
- Polymorph energy (0 for the lowest one): 8.04 kJ/mol of atoms

---

Entry 4:
An optimized crystal structure of KLaSi2Sn, computed with GGA-PBE.

POSCAR file:
```
KLaSi2Sn
1.0
5.311 0.000 0.000
0.000 5.311 0.000
0.000 0.000 5.551
K La Si Sn
1 1 2 1
Direct
0.000 0.000 0.000
0.500 0.500 0.000
0.000 0.500 0.500
0.500 0.000 0.500
0.000 0.000 0.500
```

- Total magnetization: 0.00 μB/atom
- Formation energy from raw total energies: 68 kJ per mole of atoms
- Volume: 31.31 Å³/atom
- Space group: P4/mmm, No. 123

---

Entry 5:
An optimized crystal structure of K2LaVSi, computed with GGA-PBE.

POSCAR file:
```
K2LaVSi
1.0
7.215 0.000 0.000
0.000 7.215 0.000
0.000 0.000 5.251
K La V Si
2 1 1 1
Direct
0.000 0.500 0.000
0.500 0.000 0.000
0.000 0.000 0.000
0.500 0.500 0.500
0.000 0.000 0.500
```

- Total magnetization: 0.87 μB/atom
- Formation energy from raw total energies: 137 kJ per mole of atoms
- Volume: 54.66 Å³/atom
- Space group: P4/mmm, No. 123

---

Entry 6:
An optimized crystal structure of KLaSm2, computed with GGA-PBE.

POSCAR file:
```
KLaSm2
1.0
1.837 1.061 13.534
-1.837 1.061 13.534
0.000 -2.121 13.534
K La Sm
1 1 2
Direct
0.000 0.000 0.000
0.500 0.500 0.500
0.094 0.094 0.094
0.906 0.906 0.906
```

- Total magnetization: 0.00 μB/atom
- Volume: 39.55 Å³/atom
- Space group: R-3m, No. 166
- DFT formation energy: 0.88 eV/f.u.

---

| no. | total DFT energy (no corrections) (eV per cell) |
| --- | --- |
| 1 | -6.80 |
| 2 | -15.67 |
| 3 | -11.22 |
| 4 | -17.35 |
| 5 | -14.55 |
| 6 | -14.58 |